(1)
ZrAs2I: optimized geometry, PBE-GGA.

abc: 5.011 5.011 5.011
angles: 60.00 60.00 60.00
Sites, in units of the cell vectors:
I 0.500 0.500 0.500
As 0.750 0.750 0.750
As 0.250 0.250 0.250
Zr 0.000 0.000 0.000

Calculated values
E: -4.54 eV/atom
Formation energy (no corrections): 7.169 kcal/mol of atoms
Energy above the lowest structure with this stoichiometry: 339.8 meV/atom


(2)
Zr2AsI: optimized geometry, PBE-GGA.

abc: 5.312 5.312 9.052
angles: 72.94 72.94 90.00
Sites, in units of the cell vectors:
Zr 0.561 0.125 0.250
Zr 0.189 0.625 0.250
Zr 0.375 0.439 0.750
Zr 0.875 0.811 0.750
I 0.750 0.250 0.500
I 0.000 0.000 0.000
As 0.250 0.750 0.500
As 0.500 0.500 0.000

Calculated values
E: -5.84 eV/atom
Formation energy (no corrections): -0.275 kcal/mol of atoms


(3)
InAs: optimized geometry, PBE-GGA.

abc: 4.105 4.105 17.370
angles: 90.00 90.00 90.48
Sites, in units of the cell vectors:
In 0.539 0.461 0.589
In 0.955 0.045 0.750
In 0.045 0.955 0.250
In 0.461 0.539 0.411
In 0.539 0.461 0.911
In 0.461 0.539 0.089
As 0.964 0.036 0.430
As 0.964 0.036 0.070
As 0.036 0.964 0.930
As 0.452 0.548 0.750
As 0.036 0.964 0.570
As 0.548 0.452 0.250

Calculated values
E_form: -0.09 eV/f.u.
E: -3.74 eV/atom


(4)
In3As: optimized geometry, PBE-GGA.

abc: 3.237 4.965 6.387
angles: 90.00 90.00 90.00
Sites, in units of the cell vectors:
In 0.500 0.000 0.515
In 0.500 0.500 0.828
In 0.000 0.500 0.295
As 0.000 0.000 0.028

Calculated values
E_form: 0.44 eV/f.u.
E: -3.11 eV/atom
Energy above the lowest structure with this stoichiometry: 97.4 meV/atom